VASP calculation (PBE-GGA) on a relaxed ErFe2SiP crystal.

Results
- DFT total energy (eV per atom) = -7.290
- spin magnetization (μB/f.u.) = 0.01

Unit cell a=3.8726 b=3.8726 c=9.3802 alpha=90.00 beta=90.00 gamma=90.00
Last column: nearest neighbours and their distance in Å.
Space group I4mm (No. 107)
Symmetry-distinct sites (fractional):
Er 0.0000 0.0000 0.0000 x2  4 Si 3.00, 4 P 3.01, 8 Fe 3.01-3.07
Fe 0.0000 0.5000 0.2457 x4  2 P 2.21, 2 Si 2.26
Si 0.0000 0.0000 0.3697 x2  4 Fe 2.26, 1 P 2.47
P 0.0000 0.0000 0.6328 x2  4 Fe 2.21, 1 Si 2.47